Record 1
# MnAsAu2O, relaxed, DFT PBE with a Hubbard U
# Crystal system ... tetragonal
# E_tot ... -4.59 eV per atom
# Total magnetization ... 4.13 μB/f.u.
data_MnAsAu2O
_chemical_formula_sum 'Mn1 As1 Au2 O1'
_space_group_name_H-M_alt 'P 4/m m m'
_space_group_IT_number 123
_space_group_name_Hall '-P 4 2'
_cell_length_a 5.168
_cell_length_b 5.168
_cell_length_c 3.554
_cell_angle_alpha 90.00
_cell_angle_beta 90.00
_cell_angle_gamma 90.00
loop_
_atom_site_label
_atom_site_fract_x
_atom_site_fract_y
_atom_site_fract_z
Mn1 0.000 0.000 0.000
As1 0.500 0.500 0.500
Au1 0.000 0.500 0.000
O1 0.000 0.000 0.500



Record 2
# Mn2AsAuO, relaxed, DFT PBE with a Hubbard U
# Crystal system ... tetragonal
# E_tot ... -4.75 eV per atom
# Total magnetization ... 9.87 μB/f.u.
data_Mn2AsAuO
_chemical_formula_sum 'Mn2 As1 Au1 O1'
_space_group_name_H-M_alt 'P 4/m m m'
_space_group_IT_number 123
_space_group_name_Hall '-P 4 2'
_cell_length_a 5.179
_cell_length_b 5.179
_cell_length_c 4.658
_cell_angle_alpha 90.00
_cell_angle_beta 90.00
_cell_angle_gamma 90.00
loop_
_atom_site_label
_atom_site_fract_x
_atom_site_fract_y
_atom_site_fract_z
Mn1 0.000 0.500 0.000
As1 0.000 0.000 0.500
Au1 0.000 0.000 0.000
O1 0.500 0.500 0.500